First-principles (PBE) data for a geometry-optimized CsOsRh3 structure, as listed in Alexandria.

ΔE_f (meV/atom): 1058
Crystal system: cubic
Space-group type: Pm-3m, No. 221
Density (g/cm³): 9.10
Raw total energy (eV/atom): -5.77

Structure (extended XYZ):
```
5
Lattice="-4.370 0.573 2.064 -0.108 -4.741 1.090 2.139 0.933 4.270" Properties=species:S:1:pos:R:3 pbc="T T T"
Cs -1.169 -1.617 3.712
Rh -0.054 -2.371 0.545
Rh 1.070 0.467 2.135
Rh -2.185 0.287 1.032
Os 0.000 0.000 0.000
```

***

First-principles (PBE) data for a geometry-optimized PuTlPO6 structure, as listed in Alexandria.

E_form (uncorrected) (meV/atom): -1839
Crystal system: trigonal
Space-group type: P312, No. 149
Density (g/cm³): 6.55
Raw total energy (eV/atom): -7.60

Structure (extended XYZ):
```
9
Lattice="5.197 0.000 0.000 2.598 4.501 0.000 0.000 0.000 6.236" Properties=species:S:1:pos:R:3 pbc="T T T"
Pu 5.197 3.000 3.118
Tl 7.795 4.501 6.236
P 2.598 1.500 3.118
O 1.181 1.580 2.121
O 1.959 0.233 4.115
O 4.015 1.580 4.115
O 1.820 2.687 4.115
O 3.376 2.687 2.121
O 3.237 0.233 2.121
```

***

First-principles (PBE) data for a geometry-optimized Pu2RhO structure, as listed in Alexandria.

E_form (uncorrected) (meV/atom): -1095
Crystal system: tetragonal
Space-group type: P4/mmm, No. 123
Density (g/cm³): 14.46
Raw total energy (eV/atom): -11.34

Structure (extended XYZ):
```
4
Lattice="-1.187 1.737 -2.353 2.067 -1.298 -2.001 -4.586 -5.082 -1.440" Properties=species:S:1:pos:R:3 pbc="T T T"
Rh -1.853 -2.322 -2.897
O 0.440 0.220 -2.177
Pu -3.576 -3.963 -1.123
Pu -1.010 -1.119 -0.317
```

***

First-principles (PBE) data for a geometry-optimized PtC5 structure, as listed in Alexandria.

ΔE_f (meV/atom): 707
Crystal system: monoclinic
Space-group type: Cm, No. 8
Density (g/cm³): 8.36
Raw total energy (eV/atom): -7.99

Structure (extended XYZ):
```
6
Lattice="-0.609 -2.594 -2.642 1.808 -2.769 -1.773 -1.591 -3.968 3.627" Properties=species:S:1:pos:R:3 pbc="T T T"
Pt 0.282 -1.345 -1.056
C 0.949 -5.548 -3.755
C -0.585 -4.228 0.777
C -0.094 -6.311 -1.008
C -0.125 -4.824 -0.622
C -0.476 -1.537 1.016
```

***

First-principles (PBE) data for a geometry-optimized TbZn4Ni2 structure, as listed in Alexandria.

ΔE_f (meV/atom): -285
Crystal system: orthorhombic
Space-group type: Cmmm, No. 65
Density (g/cm³): 8.01
Raw total energy (eV/atom): -3.33

Structure (extended XYZ):
```
7
Lattice="3.919 0.000 0.000 0.000 3.953 0.000 0.000 -1.977 7.202" Properties=species:S:1:pos:R:3 pbc="T T T"
Tb 0.000 0.000 0.000
Zn 1.959 1.977 4.555
Zn 0.000 1.977 2.627
Zn 1.959 0.000 2.648
Zn 0.000 0.000 4.576
Ni 1.959 1.977 1.161
Ni 1.959 0.000 6.042
```

***

First-principles (PBE) data for a geometry-optimized CaFeCo2 structure, as listed in Alexandria.

ΔE_f (meV/atom): 552
Crystal system: tetragonal
Space-group type: I4_1/amd, No. 141
Density (g/cm³): 4.42
Raw total energy (eV/atom): -5.62

Structure (extended XYZ):
```
8
Lattice="4.486 0.000 0.000 0.000 4.486 0.000 2.243 2.243 7.982" Properties=species:S:1:pos:R:3 pbc="T T T"
Ca 2.243 2.243 0.000
Ca 2.243 4.486 3.991
Co 4.490 1.121 1.996
Co 4.481 3.364 1.996
Co 3.364 2.238 5.987
Co 5.607 2.247 5.987
Fe 0.000 0.000 0.000
Fe 4.486 2.243 3.991
```

***

First-principles (PBE) data for a geometry-optimized PmEuTm2 structure, as listed in Alexandria.

ΔE_f (meV/atom): 145
Crystal system: cubic
Space-group type: Fm-3m, No. 225
Density (g/cm³): 7.92
Raw total energy (eV/atom): -5.85

Structure (extended XYZ):
```
4
Lattice="-4.829 -1.525 2.682 -0.157 -4.817 3.100 -0.314 0.279 5.715" Properties=species:S:1:pos:R:3 pbc="T T T"
Eu 0.000 0.000 0.000
Tm -1.325 -1.516 2.874
Tm -3.975 -4.547 8.623
Pm -2.650 -3.031 5.748
```

***

First-principles (PBE) data for a geometry-optimized Li2TaTc structure, as listed in Alexandria.

ΔE_f (meV/atom): 762
Crystal system: tetragonal
Space-group type: I-42d, No. 122
Density (g/cm³): 8.04
Raw total energy (eV/atom): -5.75

Structure (extended XYZ):
```
8
Lattice="-2.615 -6.391 1.280 5.945 -2.904 -2.356 2.598 -4.576 1.728" Properties=species:S:1:pos:R:3 pbc="T T T"
Li -0.198 -5.393 0.916
Li 3.994 -3.867 -0.859
Li 3.298 -6.967 0.852
Li 4.761 -11.517 0.394
Tc 1.665 -4.648 -0.538
Tc 5.104 -6.064 -0.583
Ta 0.000 0.000 0.000
Ta 0.824 -7.808 1.235
```

***

First-principles (PBE) data for a geometry-optimized K4Ba5 structure, as listed in Alexandria.

ΔE_f (meV/atom): 79
Crystal system: tetragonal
Space-group type: I4/mmm, No. 139
Density (g/cm³): 2.33
Raw total energy (eV/atom): -1.48

Structure (extended XYZ):
```
9
Lattice="11.478 -0.046 0.000 -10.470 4.703 0.000 -0.504 -2.329 11.228" Properties=species:S:1:pos:R:3 pbc="T T T"
K 7.297 -1.579 7.466
K 3.677 -0.796 3.762
K -3.677 0.796 3.762
K -7.297 1.579 7.466
Ba 0.000 0.000 0.000
Ba 4.075 1.556 0.000
Ba -3.067 3.101 0.000
Ba 0.000 0.000 7.574
Ba 0.504 2.329 3.654
```

***

First-principles (PBE) data for a geometry-optimized Pa5GeAs4 structure, as listed in Alexandria.

ΔE_f (meV/atom): -944
Crystal system: tetragonal
Space-group type: I4/m, No. 87
Density (g/cm³): 10.38
Raw total energy (eV/atom): -8.01

Structure (extended XYZ):
```
10
Lattice="5.226 0.000 2.521 2.613 6.489 1.260 -0.206 0.000 7.105" Properties=species:S:1:pos:R:3 pbc="T T T"
Pa 5.590 2.598 8.459
Pa 3.541 5.190 6.028
Pa 4.103 1.299 4.863
Pa 2.054 3.891 2.433
Pa 2.618 0.000 1.263
Ge 0.005 0.000 0.002
As 2.976 2.597 7.201
As 6.154 5.194 7.290
As 1.491 1.295 3.602
As 4.669 3.892 3.690
```

***

First-principles (PBE) data for a geometry-optimized NaSrMgAl structure, as listed in Alexandria.

ΔE_f (meV/atom): -14
Crystal system: cubic
Space-group type: F-43m, No. 216
Density (g/cm³): 2.46
Raw total energy (eV/atom): -2.10

Structure (extended XYZ):
```
4
Lattice="5.367 0.000 0.000 2.683 4.648 0.000 2.683 1.549 4.382" Properties=species:S:1:pos:R:3 pbc="T T T"
Sr 5.367 3.098 2.191
Mg 0.000 0.000 0.000
Al 2.683 1.549 1.095
Na 8.050 4.648 3.286
```

***

First-principles (PBE) data for a geometry-optimized Ta2ZnBr structure, as listed in Alexandria.

E_form (uncorrected) (meV/atom): 375
Crystal system: trigonal
Space-group type: R-3m, No. 166
Density (g/cm³): 11.79
Raw total energy (eV/atom): -6.29

Structure (extended XYZ):
```
4
Lattice="9.202 0.003 0.002 8.705 2.983 0.002 8.705 1.452 2.606" Properties=species:S:1:pos:R:3 pbc="T T T"
Br 19.959 3.329 1.957
Ta 0.030 0.005 0.003
Ta 13.276 2.214 1.302
Zn 6.653 1.110 0.652
```

***

First-principles (PBE) data for a geometry-optimized Pm4FeHg2 structure, as listed in Alexandria.

ΔE_f (meV/atom): -93
Crystal system: tetragonal
Space-group type: I4/mmm, No. 139
Density (g/cm³): 8.33
Raw total energy (eV/atom): -4.10

Structure (extended XYZ):
```
7
Lattice="-0.870 -4.659 -1.920 3.573 -1.945 3.099 -6.848 2.043 4.957" Properties=species:S:1:pos:R:3 pbc="T T T"
Fe 0.000 0.000 0.000
Hg -0.088 -3.632 2.042
Hg -4.057 -0.929 4.094
Pm -2.218 -4.119 4.191
Pm -1.927 -0.441 1.945
Pm 1.786 -0.972 1.550
Pm -0.435 -2.330 -0.960
```

***

First-principles (PBE) data for a geometry-optimized Li5In2Sn structure, as listed in Alexandria.

ΔE_f (meV/atom): -321
Crystal system: tetragonal
Space-group type: I4/mmm, No. 139
Density (g/cm³): 4.25
Raw total energy (eV/atom): -2.70

Structure (extended XYZ):
```
8
Lattice="4.642 0.000 0.000 0.000 4.642 0.000 -2.321 -2.321 6.946" Properties=species:S:1:pos:R:3 pbc="T T T"
Li 2.321 2.321 0.000
Li 2.321 0.000 5.310
Li 0.000 2.321 5.310
Li 0.000 2.321 1.636
Li 2.321 0.000 1.636
In 2.321 2.321 3.442
In 0.000 0.000 3.504
Sn 0.000 0.000 0.000
```

***

First-principles (PBE) data for a geometry-optimized Bi6RuRh structure, as listed in Alexandria.

ΔE_f (meV/atom): 51
Crystal system: triclinic
Space-group type: P-1, No. 2
Density (g/cm³): 10.82
Raw total energy (eV/atom): -4.94

Structure (extended XYZ):
```
8
Lattice="6.835 0.397 0.231 3.743 5.426 0.356 3.700 2.166 6.497" Properties=species:S:1:pos:R:3 pbc="T T T"
Bi 4.586 4.146 4.765
Bi 8.121 2.293 5.448
Bi 5.896 2.066 2.111
Bi 6.157 5.696 1.636
Bi 9.692 3.842 2.319
Bi 8.382 5.923 4.973
Ru 0.000 0.000 0.000
Rh 7.139 3.994 3.542
```

***

First-principles (PBE) data for a geometry-optimized CdBO2 structure, as listed in Alexandria.

E_form (uncorrected) (meV/atom): -1529
Crystal system: triclinic
Space-group type: P-1, No. 2
Density (g/cm³): 3.89
Raw total energy (eV/atom): -5.91

Structure (extended XYZ):
```
8
Lattice="3.730 0.589 0.168 1.023 5.916 -1.343 -1.973 -3.607 6.877" Properties=species:S:1:pos:R:3 pbc="T T T"
Cd 1.146 3.117 2.364
Cd 2.484 1.390 3.895
B 1.611 5.138 -0.012
B 2.018 -0.631 6.271
O -0.042 1.467 5.646
O 0.268 -0.740 2.566
O 3.671 3.040 0.612
O 2.339 -0.670 5.036
```